No. 1
Compound: ReAg2H
Source: Alexandria
Functional: GGA-PBE
Structure: relaxed

abc: 5.259 5.259 5.259
angles: 112.01 112.01 104.50
Sites, in units of the cell vectors:
Re 0.000 0.000 0.000
Re 0.750 0.250 0.500
Ag 0.245 0.625 0.120
Ag 0.375 0.495 0.620
Ag 0.505 0.125 0.880
Ag 0.875 0.755 0.380
H 0.250 0.750 0.500
H 0.500 0.500 0.000

Output
calculated total energy: -33.871 eV/cell
energy relative to the lowest polymorph listed for this composition: 0 meV per atom
crystal system: tetragonal
density: 12.02 g/cm³
volume: 111.3 Å³/cell



No. 2
Compound: CaRu2Pt2
Source: Alexandria
Functional: GGA-PBE
Structure: relaxed

abc: 7.802 7.802 2.800
angles: 90.00 90.00 90.00
Sites, in units of the cell vectors:
Ca 0.000 0.000 0.000
Ca 0.500 0.500 0.000
Ru 0.113 0.387 0.000
Ru 0.387 0.887 0.000
Ru 0.613 0.113 0.000
Ru 0.887 0.613 0.000
Pt 0.185 0.685 0.500
Pt 0.315 0.185 0.500
Pt 0.685 0.815 0.500
Pt 0.815 0.315 0.500

Output
calculated total energy: -66.239 eV/cell
energy relative to the elements: -0.10 eV/atom
energy relative to the lowest polymorph listed for this composition: 0 meV per atom
crystal system: tetragonal
density: 12.32 g/cm³
volume: 170.4 Å³/cell



No. 3
Compound: Pm4PaSb5
Source: Alexandria
Functional: GGA-PBE
Structure: relaxed

abc: 7.730 7.730 7.730
angles: 99.59 99.59 131.82
Sites, in units of the cell vectors:
Pm 0.098 0.302 0.400
Pm 0.302 0.902 0.204
Pm 0.698 0.098 0.796
Pm 0.902 0.698 0.600
Pa 0.500 0.500 0.000
Sb 0.000 0.000 0.000
Sb 0.207 0.598 0.805
Sb 0.402 0.207 0.609
Sb 0.598 0.793 0.391
Sb 0.793 0.402 0.195

Output
calculated total energy: -59.569 eV/cell
energy relative to the lowest polymorph listed for this composition: 0 meV per atom
crystal system: tetragonal
density: 7.50 g/cm³
formation energy (no corrections): -1.05 eV/atom
volume: 314.3 Å³/cell



No. 4
Compound: Li2Tl8In
Source: Alexandria
Functional: GGA-PBE
Structure: relaxed

abc: 8.251 8.251 6.130
angles: 91.21 91.21 46.91
Sites, in units of the cell vectors:
Li 0.242 0.242 0.125
Li 0.758 0.758 0.875
Tl 0.090 0.090 0.383
Tl 0.152 0.653 0.106
Tl 0.288 0.288 0.641
Tl 0.347 0.848 0.894
Tl 0.653 0.152 0.106
Tl 0.712 0.712 0.359
Tl 0.848 0.347 0.894
Tl 0.910 0.910 0.617
In 0.500 0.500 0.500

Output
calculated total energy: -25.782 eV/cell
energy relative to the elements: -0.03 eV/atom
crystal system: monoclinic
density: 9.61 g/cm³
volume: 304.7 Å³/cell